## LaPm4Pr2Dy (PBE)

Data for a relaxed structure of LaPm4Pr2Dy.

Results
- Crystal system: monoclinic
- Total magnetization: 0.0 μB per cell
- Energy of formation: 0.362 eV/atom

Geometry as POSCAR:
```
LaPm4Pr2Dy
1.0
6.929 -6.753 0.000
6.929 6.753 0.000
-3.467 0.000 6.037
La Pm Pr Dy
2 8 4 2
direct
0.000 0.500 0.000 La
0.500 0.000 0.500 La
0.243 0.755 0.998 Pm
0.245 0.246 0.967 Pm
0.245 0.757 0.502 Pm
0.246 0.245 0.467 Pm
0.754 0.755 0.533 Pm
0.755 0.243 0.498 Pm
0.755 0.754 0.033 Pm
0.757 0.245 0.002 Pm
0.000 0.500 0.500 Pr
0.500 0.000 0.000 Pr
0.500 0.500 0.000 Pr
0.500 0.500 0.500 Pr
0.000 0.000 0.000 Dy
0.000 0.000 0.500 Dy
```